! Ba3Sr (PBEsol, relaxed); values from VASP
&SYSTEM
  ibrav = 0, nat = 16, ntyp = 2
/
ATOMIC_SPECIES
Ba 137.33 Ba.upf
Sr 87.62 Sr.upf
CELL_PARAMETERS angstrom
6.0859 0.0000 0.0000
0.0000 6.0859 0.0000
0.0000 0.0000 24.7453
ATOMIC_POSITIONS crystal
Ba 0.0000 0.0000 0.1250
Ba 0.0000 0.0000 0.8750
Ba 0.0000 0.5000 0.0000
Ba 0.0000 0.5000 0.2500
Ba 0.0000 0.5000 0.5000
Ba 0.0000 0.5000 0.7500
Ba 0.5000 0.0000 0.0000
Ba 0.5000 0.0000 0.2500
Ba 0.5000 0.0000 0.5000
Ba 0.5000 0.0000 0.7500
Ba 0.5000 0.5000 0.3750
Ba 0.5000 0.5000 0.6250
Sr 0.0000 0.0000 0.3747
Sr 0.0000 0.0000 0.6253
Sr 0.5000 0.5000 0.1253
Sr 0.5000 0.5000 0.8747
! Space-group type   I4/mmm
! E   -0.075 Ha/atom
! DOS at the Fermi energy   24.63 states/eV per cell
! M_tot   0.00 μB/cell
! Energy of formation   8 kJ/mol of formula units
! Mass density   3.6 g cm⁻³


! Ba5Sr4 (PBEsol, relaxed); values from VASP
&SYSTEM
  ibrav = 0, nat = 18, ntyp = 2
/
ATOMIC_SPECIES
Ba 137.33 Ba.upf
Sr 87.62 Sr.upf
CELL_PARAMETERS angstrom
11.9056 0.0000 0.0000
-5.9528 10.3105 0.0000
0.0000 0.0000 8.1475
ATOMIC_POSITIONS crystal
Ba 0.0000 0.3385 0.2500
Ba 0.0000 0.6615 0.7500
Ba 0.3333 0.6667 0.0000
Ba 0.3333 0.6667 0.5000
Ba 0.3385 0.0000 0.2500
Ba 0.3385 0.3385 0.7500
Ba 0.6615 0.0000 0.7500
Ba 0.6615 0.6615 0.2500
Ba 0.6667 0.3333 0.0000
Ba 0.6667 0.3333 0.5000
Sr 0.0000 0.0000 0.0000
Sr 0.0000 0.0000 0.5000
Sr 0.0000 0.3263 0.7500
Sr 0.0000 0.6737 0.2500
Sr 0.3263 0.0000 0.7500
Sr 0.3263 0.3263 0.2500
Sr 0.6737 0.0000 0.2500
Sr 0.6737 0.6737 0.7500
! Space-group type   P6_3/mcm
! E   -0.072 Ha/atom
! DOS at the Fermi energy   30.42 states/eV per cell
! M_tot   0.00 μB/cell
! Energy of formation   43 kJ/mol of formula units
! Mass density   3.4 g cm⁻³


! Ba7Sr (PBEsol, relaxed); values from VASP
&SYSTEM
  ibrav = 0, nat = 8, ntyp = 2
/
ATOMIC_SPECIES
Ba 137.33 Ba.upf
Sr 87.62 Sr.upf
CELL_PARAMETERS angstrom
0.0000 6.1485 6.1485
6.1485 0.0000 6.1485
6.1485 6.1485 0.0000
ATOMIC_POSITIONS crystal
Ba 0.0000 0.0000 0.0000
Ba 0.0000 0.0000 0.5000
Ba 0.0000 0.5000 0.0000
Ba 0.0000 0.5000 0.5000
Ba 0.5000 0.0000 0.0000
Ba 0.5000 0.0000 0.5000
Ba 0.5000 0.5000 0.0000
Sr 0.5000 0.5000 0.5000
! Space-group type   Fm-3m
! E   -0.077 Ha/atom
! DOS at the Fermi energy   13.14 states/eV per cell
! M_tot   0.00 μB/cell
! Energy of formation   15 kJ/mol of formula units
! Mass density   3.7 g cm⁻³


! Ba2Sr3 (PBEsol, relaxed); values from VASP
&SYSTEM
  ibrav = 0, nat = 15, ntyp = 2
/
ATOMIC_SPECIES
Ba 137.33 Ba.upf
Sr 87.62 Sr.upf
CELL_PARAMETERS angstrom
4.2459 0.0000 0.0000
-2.1230 3.6771 0.0000
0.0000 0.0000 52.4395
ATOMIC_POSITIONS crystal
Ba 0.0000 0.0000 0.0995
Ba 0.0000 0.0000 0.9005
Ba 0.3333 0.6667 0.5672
Ba 0.3333 0.6667 0.7661
Ba 0.6667 0.3333 0.2339
Ba 0.6667 0.3333 0.4328
Sr 0.0000 0.0000 0.3010
Sr 0.0000 0.0000 0.5000
Sr 0.0000 0.0000 0.6990
Sr 0.3333 0.6667 0.1667
Sr 0.3333 0.6667 0.3657
Sr 0.3333 0.6667 0.9676
Sr 0.6667 0.3333 0.0324
Sr 0.6667 0.3333 0.6343
Sr 0.6667 0.3333 0.8333
! Space-group type   R-3m
! E   -0.072 Ha/atom
! DOS at the Fermi energy   19.64 states/eV per cell
! M_tot   0.01 μB/cell
! Energy of formation   5 kJ/mol of formula units
! Mass density   3.3 g cm⁻³


! Ba5Sr4 (PBEsol, relaxed); values from VASP
&SYSTEM
  ibrav = 0, nat = 9, ntyp = 2
/
ATOMIC_SPECIES
Ba 137.33 Ba.upf
Sr 87.62 Sr.upf
CELL_PARAMETERS angstrom
-7.1490 7.1490 2.4193
7.1490 -7.1490 2.4193
7.1490 7.1490 -2.4193
ATOMIC_POSITIONS crystal
Ba 0.0000 0.0000 0.0000
Ba 0.3337 0.3337 0.6673
Ba 0.3337 0.6663 0.0000
Ba 0.6663 0.3337 0.0000
Ba 0.6663 0.6663 0.3327
Sr 0.0000 0.3356 0.3356
Sr 0.0000 0.6644 0.6644
Sr 0.3356 0.0000 0.3356
Sr 0.6644 0.0000 0.6644
! Space-group type   I4/mmm
! E   -0.074 Ha/atom
! DOS at the Fermi energy   10.27 states/eV per cell
! M_tot   0.00 μB/cell
! Energy of formation   1 kJ/mol of formula units
! Mass density   3.5 g cm⁻³


! Ba5Sr (PBEsol, relaxed); values from VASP
&SYSTEM
  ibrav = 0, nat = 12, ntyp = 2
/
ATOMIC_SPECIES
Ba 137.33 Ba.upf
Sr 87.62 Sr.upf
CELL_PARAMETERS angstrom
6.1744 0.0000 0.0000
0.0000 18.2513 0.0000
0.0000 0.0000 6.1492
ATOMIC_POSITIONS crystal
Ba 0.0000 0.0000 0.0000
Ba 0.0000 0.1654 0.5000
Ba 0.0000 0.3343 0.0000
Ba 0.0000 0.6657 0.0000
Ba 0.0000 0.8346 0.5000
Ba 0.5000 0.1657 0.0000
Ba 0.5000 0.3346 0.5000
Ba 0.5000 0.5000 0.0000
Ba 0.5000 0.6654 0.5000
Ba 0.5000 0.8343 0.0000
Sr 0.0000 0.5000 0.5000
Sr 0.5000 0.0000 0.5000
! Space-group type   Cmmm
! E   -0.076 Ha/atom
! DOS at the Fermi energy   18.51 states/eV per cell
! M_tot   0.00 μB/cell
! Energy of formation   11 kJ/mol of formula units
! Mass density   3.7 g cm⁻³


! Ba3Sr (PBEsol, relaxed); values from VASP
&SYSTEM
  ibrav = 0, nat = 4, ntyp = 2
/
ATOMIC_SPECIES
Ba 137.33 Ba.upf
Sr 87.62 Sr.upf
CELL_PARAMETERS angstrom
4.3265 0.0000 0.0000
0.0000 6.1097 0.0000
0.0000 0.0000 8.6862
ATOMIC_POSITIONS crystal
Ba 0.0000 0.0000 0.0000
Ba 0.5000 0.5000 0.2532
Ba 0.5000 0.5000 0.7468
Sr 0.0000 0.0000 0.5000
! Space-group type   Pmmm
! E   -0.075 Ha/atom
! DOS at the Fermi energy   6.34 states/eV per cell
! M_tot   0.00 μB/cell
! Energy of formation   7 kJ/mol of formula units
! Mass density   3.6 g cm⁻³


! BaSr3 (PBEsol, relaxed); values from VASP
&SYSTEM
  ibrav = 0, nat = 4, ntyp = 2
/
ATOMIC_SPECIES
Ba 137.33 Ba.upf
Sr 87.62 Sr.upf
CELL_PARAMETERS angstrom
6.6730 0.0000 0.0000
0.0000 6.6730 0.0000
0.0000 0.0000 4.7232
ATOMIC_POSITIONS crystal
Ba 0.0000 0.0000 0.0000
Sr 0.0000 0.5000 0.5000
Sr 0.5000 0.0000 0.5000
Sr 0.5000 0.5000 0.0000
! Space-group type   P4/mmm
! E   -0.070 Ha/atom
! DOS at the Fermi energy   4.20 states/eV per cell
! M_tot   0.00 μB/cell
! Energy of formation   0 kJ/mol of formula units
! Mass density   3.2 g cm⁻³


! Ba3Sr (PBEsol, relaxed); values from VASP
&SYSTEM
  ibrav = 0, nat = 8, ntyp = 2
/
ATOMIC_SPECIES
Ba 137.33 Ba.upf
Sr 87.62 Sr.upf
CELL_PARAMETERS angstrom
8.6137 0.0000 0.0000
-4.3069 7.4597 0.0000
0.0000 0.0000 7.0864
ATOMIC_POSITIONS crystal
Ba 0.1667 0.3334 0.2500
Ba 0.1667 0.8333 0.2500
Ba 0.3334 0.1667 0.7500
Ba 0.6666 0.8333 0.2500
Ba 0.8333 0.1667 0.7500
Ba 0.8333 0.6666 0.7500
Sr 0.3333 0.6667 0.7500
Sr 0.6667 0.3333 0.2500
! Space-group type   P6_3/mmc
! E   -0.076 Ha/atom
! DOS at the Fermi energy   12.26 states/eV per cell
! M_tot   0.00 μB/cell
! Energy of formation   6 kJ/mol of formula units
! Mass density   3.6 g cm⁻³


! Ba3Sr (PBEsol, relaxed); values from VASP
&SYSTEM
  ibrav = 0, nat = 8, ntyp = 2
/
ATOMIC_SPECIES
Ba 137.33 Ba.upf
Sr 87.62 Sr.upf
CELL_PARAMETERS angstrom
4.8319 0.0000 0.0000
0.0000 6.8384 0.0000
0.0000 0.0000 13.6681
ATOMIC_POSITIONS crystal
Ba 0.0000 0.0000 0.0000
Ba 0.0000 0.5000 0.2493
Ba 0.0000 0.5000 0.7507
Ba 0.5000 0.0000 0.2507
Ba 0.5000 0.0000 0.7493
Ba 0.5000 0.5000 0.5000
Sr 0.0000 0.0000 0.5000
Sr 0.5000 0.5000 0.0000
! Space-group type   Immm
! E   -0.076 Ha/atom
! DOS at the Fermi energy   10.76 states/eV per cell
! M_tot   0.00 μB/cell
! Energy of formation   0 kJ/mol of formula units
! Mass density   3.7 g cm⁻³


! BaSr3 (PBEsol, relaxed); values from VASP
&SYSTEM
  ibrav = 0, nat = 4, ntyp = 2
/
ATOMIC_SPECIES
Ba 137.33 Ba.upf
Sr 87.62 Sr.upf
CELL_PARAMETERS angstrom
4.0817 0.0000 0.0000
0.0000 6.6850 0.0000
-1.3298 0.0000 7.6976
ATOMIC_POSITIONS crystal
Ba 0.0000 0.0000 0.0000
Sr 0.2505 0.5000 0.7492
Sr 0.5000 0.0000 0.5000
Sr 0.7495 0.5000 0.2508
! Space-group type   P2/m
! E   -0.070 Ha/atom
! DOS at the Fermi energy   4.52 states/eV per cell
! M_tot   0.00 μB/cell
! Energy of formation   0 kJ/mol of formula units
! Mass density   3.2 g cm⁻³


! BaSr3 (PBEsol, relaxed); values from VASP
&SYSTEM
  ibrav = 0, nat = 4, ntyp = 2
/
ATOMIC_SPECIES
Ba 137.33 Ba.upf
Sr 87.62 Sr.upf
CELL_PARAMETERS angstrom
5.9976 0.0000 0.0000
0.0000 5.9976 0.0000
0.0000 0.0000 5.9976
ATOMIC_POSITIONS crystal
Ba 0.0000 0.0000 0.0000
Sr 0.0000 0.5000 0.5000
Sr 0.5000 0.0000 0.5000
Sr 0.5000 0.5000 0.0000
! Space-group type   Pm-3m
! E   -0.070 Ha/atom
! DOS at the Fermi energy   4.29 states/eV per cell
! M_tot   0.00 μB/cell
! Energy of formation   3 kJ/mol of formula units
! Mass density   3.1 g cm⁻³